## Ac2PuSb (PBE)

Data for a geometry-optimized Ac2PuSb structure.

Cell: 5.797 5.797 5.797 Å, 60.00 60.00 60.00°
Positions (direct):
Sb: 0.500 0.500 0.500
Ac: 0.250 0.250 0.250
Ac: 0.750 0.750 0.750
Pu: 0.000 0.000 0.000

- Spin magnetization: 6.570 μB/f.u.
- N(E_F): 20.63 states/eV/f.u.
- E above lowest polymorph: 0.2063 eV per atom
- Raw formation energy: -0.1301 eV per atom
- Space-group type: Fm-3m
- V: 137.7 Å³/cell

## LiPuGa3 (PBE)

Data for a geometry-optimized LiPuGa3 structure.

Cell: 4.324 2.909 14.952 Å, 95.58 90.00 90.00°
Positions (direct):
Li: 0.250 0.778 0.556
Li: 0.750 0.222 0.444
Pu: 0.250 0.080 0.161
Pu: 0.750 0.920 0.839
Ga: 0.250 0.363 0.726
Ga: 0.750 0.637 0.274
Ga: 0.250 0.476 0.952
Ga: 0.750 0.524 0.048
Ga: 0.750 0.315 0.630
Ga: 0.250 0.685 0.370

- Calculated formation energy: -1.60 eV/f.u.
- Spin magnetization: 5.455 μB/f.u.
- N(E_F): 7.99 states/eV/f.u.
- Space-group type: Cmcm
- V: 187.2 Å³/cell

## Mg2CuSe (PBE)

Data for a geometry-optimized Mg2CuSe structure.

Cell: 3.742 3.739 5.707 Å, 90.00 90.00 90.00°
Positions (direct):
Cu: 0.500 0.500 0.845
Mg: 0.000 0.000 0.926
Mg: 0.500 0.500 0.305
Se: 0.000 0.000 0.425

- Spin magnetization: 0.000 μB/f.u.
- N(E_F): 1.23 states/eV/f.u.
- Raw formation energy: -0.3180 eV per atom
- Space-group type: P4mm
- V: 79.9 Å³/cell

## TbNi6Sn2 (PBE)

Data for a geometry-optimized TbNi6Sn2 structure.

Cell: 3.573 6.380 7.259 Å, 116.07 104.25 90.00°
Positions (direct):
Tb: 0.000 0.500 0.000
Ni: 0.681 0.876 0.362
Ni: 0.319 0.124 0.638
Ni: 0.319 0.514 0.638
Ni: 0.500 0.179 0.000
Ni: 0.500 0.821 0.000
Ni: 0.681 0.486 0.362
Sn: 0.862 0.862 0.725
Sn: 0.138 0.138 0.275

- Calculated formation energy: -0.81 eV/f.u.
- Spin magnetization: 0.000 μB/f.u.
- N(E_F): 9.25 states/eV/f.u.
- Space-group type: Immm
- V: 143.0 Å³/cell

- Which of these has the highest spin magnetization?
  Ac2PuSb

- Number 3 is which compound?
  Mg2CuSe